Entry 1:
# PBE-GGA TmLuInGa, optimized geometry
# E_form	-459	meV per atom
# DOS at the Fermi energy	0.370	states/eV/atom
data_TmLuInGa
_chemical_formula_sum 'Tm4 Lu4 In4 Ga4'
_cell_length_a 7.2393
_cell_length_b 7.2393
_cell_length_c 7.2393
_cell_angle_alpha 90.00
_cell_angle_beta 90.00
_cell_angle_gamma 90.00
_space_group_name_H-M_alt 'F -4 3 m'
_space_group_IT_number 216
_space_group_name_Hall 'F -4 2 3'
loop_
_atom_site_label
_atom_site_type_symbol
_atom_site_fract_x
_atom_site_fract_y
_atom_site_fract_z
Tm1 Tm 0.0000 0.0000 0.0000
Lu1 Lu 0.0000 0.0000 0.5000
In1 In 0.2500 0.2500 0.7500
Ga1 Ga 0.2500 0.2500 0.2500

=====

Entry 2:
# PBE-GGA YLuInGa, optimized geometry
# E_form	-484	meV per atom
# DOS at the Fermi energy	0.322	states/eV/atom
data_YLuInGa
_chemical_formula_sum 'Y4 Lu4 In4 Ga4'
_cell_length_a 7.2886
_cell_length_b 7.2886
_cell_length_c 7.2886
_cell_angle_alpha 90.00
_cell_angle_beta 90.00
_cell_angle_gamma 90.00
_space_group_name_H-M_alt 'F -4 3 m'
_space_group_IT_number 216
_space_group_name_Hall 'F -4 2 3'
loop_
_atom_site_label
_atom_site_type_symbol
_atom_site_fract_x
_atom_site_fract_y
_atom_site_fract_z
Y1 Y 0.0000 0.0000 0.0000
Lu1 Lu 0.0000 0.0000 0.5000
In1 In 0.2500 0.2500 0.2500
Ga1 Ga 0.2500 0.2500 0.7500

=====

Entry 3:
# PBE-GGA Mg3InGa4, optimized geometry
# E_form	-75	meV per atom
# DOS at the Fermi energy	0.388	states/eV/atom
data_Mg3InGa4
_chemical_formula_sum 'Mg6 In2 Ga8'
_cell_length_a 9.4699
_cell_length_b 6.5762
_cell_length_c 5.2300
_cell_angle_alpha 90.00
_cell_angle_beta 90.00
_cell_angle_gamma 90.00
_space_group_name_H-M_alt 'P m m a'
_space_group_IT_number 51
_space_group_name_Hall '-P 2a 2a'
loop_
_atom_site_label
_atom_site_type_symbol
_atom_site_fract_x
_atom_site_fract_y
_atom_site_fract_z
Mg1 Mg 0.0000 0.0000 0.0000
Mg2 Mg 0.2500 0.0000 0.3710
Mg3 Mg 0.2500 0.5000 0.3811
In1 In 0.0000 0.5000 0.0000
Ga1 Ga 0.0000 0.2382 0.5000
Ga2 Ga 0.2500 0.2420 0.8551

=====

Entry 4:
# PBE-GGA Mg4InGa3, optimized geometry
# E_form	-106	meV per atom
# relative energy among the computed polymorphs	0.000	eV per formula unit
# DOS at the Fermi energy	0.381	states/eV/atom
data_Mg4InGa3
_chemical_formula_sum 'Mg4 In1 Ga3'
_cell_length_a 4.8124
_cell_length_b 4.8124
_cell_length_c 7.0974
_cell_angle_alpha 90.00
_cell_angle_beta 90.00
_cell_angle_gamma 90.00
_space_group_name_H-M_alt 'P 4/m m m'
_space_group_IT_number 123
_space_group_name_Hall '-P 4 2'
loop_
_atom_site_label
_atom_site_type_symbol
_atom_site_fract_x
_atom_site_fract_y
_atom_site_fract_z
Mg1 Mg 0.0000 0.5000 0.2392
In1 In 0.0000 0.0000 0.5000
Ga1 Ga 0.0000 0.0000 0.0000
Ga2 Ga 0.5000 0.5000 0.0000
Ga3 Ga 0.5000 0.5000 0.5000

=====

Entry 5:
# PBE-GGA MgInGa, optimized geometry
# E_form	-15	meV per atom
# DOS at the Fermi energy	0.425	states/eV/atom
data_MgInGa
_chemical_formula_sum 'Mg2 In2 Ga2'
_cell_length_a 4.2854
_cell_length_b 5.5611
_cell_length_c 6.3176
_cell_angle_alpha 105.61
_cell_angle_beta 90.00
_cell_angle_gamma 112.51
_space_group_name_H-M_alt 'P -1'
_space_group_IT_number 2
_space_group_name_Hall '-P 1'
loop_
_atom_site_label
_atom_site_type_symbol
_atom_site_fract_x
_atom_site_fract_y
_atom_site_fract_z
Mg1 Mg 0.1613 0.3226 0.0902
In1 In 0.1621 0.3235 0.5898
Ga1 Ga 0.4893 0.9788 0.2224

=====

Entry 6:
# PBE-GGA Mg2In7Ga2, optimized geometry
# E_form	39	meV per atom
# DOS at the Fermi energy	0.388	states/eV/atom
data_Mg2In7Ga2
_chemical_formula_sum 'Mg4 In14 Ga4'
_cell_length_a 9.1534
_cell_length_b 11.0235
_cell_length_c 5.7446
_cell_angle_alpha 90.00
_cell_angle_beta 104.11
_cell_angle_gamma 90.00
_space_group_name_H-M_alt 'C 1 2/m 1'
_space_group_IT_number 12
_space_group_name_Hall '-C 2y'
loop_
_atom_site_label
_atom_site_type_symbol
_atom_site_fract_x
_atom_site_fract_y
_atom_site_fract_z
Mg1 Mg 0.0000 0.1407 0.0000
In1 In 0.0000 0.5000 0.5000
In2 In 0.1683 0.2625 0.6925
In3 In 0.1823 0.5000 0.0622
Ga1 Ga 0.1406 0.0000 0.4295

=====

Entry 7:
# PBE-GGA Mg11In9Ga4, optimized geometry
# E_form	-80	meV per atom
# DOS at the Fermi energy	0.316	states/eV/atom
data_Mg11In9Ga4
_chemical_formula_sum 'Mg22 In18 Ga8'
_cell_length_a 14.1534
_cell_length_b 22.4134
_cell_length_c 3.4054
_cell_angle_alpha 90.00
_cell_angle_beta 90.00
_cell_angle_gamma 90.00
_space_group_name_H-M_alt 'C m m m'
_space_group_IT_number 65
_space_group_name_Hall '-C 2 2'
loop_
_atom_site_label
_atom_site_type_symbol
_atom_site_fract_x
_atom_site_fract_y
_atom_site_fract_z
Mg1 Mg 0.0000 0.0000 0.0000
Mg2 Mg 0.0000 0.1555 0.0000
Mg3 Mg 0.0000 0.3662 0.0000
Mg4 Mg 0.1983 0.5000 0.0000
Mg5 Mg 0.2349 0.1765 0.0000
In1 In 0.0000 0.5000 0.5000
In2 In 0.1089 0.2596 0.5000
In3 In 0.1412 0.0754 0.5000
Ga1 Ga 0.1517 0.3992 0.5000

=====

Entry 8:
# PBE-GGA Mg8In2Ga3, optimized geometry
# E_form	-46	meV per atom
# DOS at the Fermi energy	0.448	states/eV/atom
data_Mg8In2Ga3
_chemical_formula_sum 'Mg16 In4 Ga6'
_cell_length_a 9.4658
_cell_length_b 13.7762
_cell_length_c 4.6958
_cell_angle_alpha 90.00
_cell_angle_beta 90.00
_cell_angle_gamma 90.00
_space_group_name_H-M_alt 'C m m m'
_space_group_IT_number 65
_space_group_name_Hall '-C 2 2'
loop_
_atom_site_label
_atom_site_type_symbol
_atom_site_fract_x
_atom_site_fract_y
_atom_site_fract_z
Mg1 Mg 0.0000 0.1166 0.0000
Mg2 Mg 0.0000 0.3732 0.0000
Mg3 Mg 0.2457 0.1219 0.5000
In1 In 0.0000 0.2471 0.5000
Ga1 Ga 0.0000 0.5000 0.5000
Ga2 Ga 0.2487 0.5000 0.0000

=====

Entry 9:
# PBE-GGA Mg6In12Ga, optimized geometry
# E_form	-21	meV per atom
# DOS at the Fermi energy	0.383	states/eV/atom
data_Mg6In12Ga
_chemical_formula_sum 'Mg18 In36 Ga3'
_cell_length_a 10.7525
_cell_length_b 10.7525
_cell_length_c 14.2373
_cell_angle_alpha 90.00
_cell_angle_beta 90.00
_cell_angle_gamma 120.00
_space_group_name_H-M_alt 'R -3'
_space_group_IT_number 148
_space_group_name_Hall '-R 3'
loop_
_atom_site_label
_atom_site_type_symbol
_atom_site_fract_x
_atom_site_fract_y
_atom_site_fract_z
Mg1 Mg 0.0304 0.5943 0.2044
In1 In 0.0293 0.8431 0.3191
In2 In 0.0571 0.2064 0.9077
Ga1 Ga 0.0000 0.0000 0.5000

=====

Entry 10:
# PBE-GGA MgIn3Ga, optimized geometry
# E_form	291	meV per atom
# relative energy among the computed polymorphs	1.531	eV per formula unit
# DOS at the Fermi energy	0.374	states/eV/atom
data_MgIn3Ga
_chemical_formula_sum 'Mg1 In3 Ga1'
_cell_length_a 5.3518
_cell_length_b 5.3518
_cell_length_c 5.3518
_cell_angle_alpha 90.00
_cell_angle_beta 90.00
_cell_angle_gamma 90.00
_space_group_name_H-M_alt 'P m -3 m'
_space_group_IT_number 221
_space_group_name_Hall '-P 4 2 3'
loop_
_atom_site_label
_atom_site_type_symbol
_atom_site_fract_x
_atom_site_fract_y
_atom_site_fract_z
Mg1 Mg 0.0000 0.0000 0.0000
In1 In 0.0000 0.5000 0.5000
Ga1 Ga 0.5000 0.5000 0.5000

=====

Entry 11:
# PBE-GGA Mg7In12Ga, optimized geometry
# E_form	-30	meV per atom
# relative energy among the computed polymorphs	0.000	eV per formula unit
# DOS at the Fermi energy	0.397	states/eV/atom
data_Mg7In12Ga
_chemical_formula_sum 'Mg21 In36 Ga3'
_cell_length_a 13.4107
_cell_length_b 13.4107
_cell_length_c 9.4925
_cell_angle_alpha 90.00
_cell_angle_beta 90.00
_cell_angle_gamma 120.00
_space_group_name_H-M_alt 'R -3'
_space_group_IT_number 148
_space_group_name_Hall '-R 3'
loop_
_atom_site_label
_atom_site_type_symbol
_atom_site_fract_x
_atom_site_fract_y
_atom_site_fract_z
Mg1 Mg 0.0000 0.0000 0.0000
Mg2 Mg 0.0639 0.2448 0.4289
In1 In 0.0385 0.2457 0.0786
In2 In 0.0390 0.1890 0.7478
Ga1 Ga 0.0000 0.0000 0.5000

=====

Entry 12:
# PBE-GGA MgInGa, optimized geometry
# E_form	-55	meV per atom
# DOS at the Fermi energy	0.351	states/eV/atom
data_MgInGa
_chemical_formula_sum 'Mg2 In2 Ga2'
_cell_length_a 5.3653
_cell_length_b 5.3821
_cell_length_c 5.4628
_cell_angle_alpha 82.46
_cell_angle_beta 74.88
_cell_angle_gamma 60.16
_space_group_name_H-M_alt 'P -1'
_space_group_IT_number 2
_space_group_name_Hall '-P 1'
loop_
_atom_site_label
_atom_site_type_symbol
_atom_site_fract_x
_atom_site_fract_y
_atom_site_fract_z
Mg1 Mg 0.2453 0.0109 0.2502
In1 In 0.4128 0.6715 0.7505
Ga1 Ga 0.0800 0.3392 0.7494

=====

Entry 13:
# PBE-GGA Mg2InGa, optimized geometry
# E_form	-98	meV per atom
# relative energy among the computed polymorphs	0.015	eV per formula unit
# DOS at the Fermi energy	0.452	states/eV/atom
data_Mg2InGa
_chemical_formula_sum 'Mg2 In1 Ga1'
_cell_length_a 3.4788
_cell_length_b 3.4788
_cell_length_c 7.1046
_cell_angle_alpha 90.00
_cell_angle_beta 90.00
_cell_angle_gamma 90.00
_space_group_name_H-M_alt 'P 4/m m m'
_space_group_IT_number 123
_space_group_name_Hall '-P 4 2'
loop_
_atom_site_label
_atom_site_type_symbol
_atom_site_fract_x
_atom_site_fract_y
_atom_site_fract_z
Mg1 Mg 0.0000 0.0000 0.2275
In1 In 0.5000 0.5000 0.5000
Ga1 Ga 0.5000 0.5000 0.0000

=====

Entry 14:
# PBE-GGA Mg3InGa8, optimized geometry
# E_form	-36	meV per atom
# DOS at the Fermi energy	0.385	states/eV/atom
data_Mg3InGa8
_chemical_formula_sum 'Mg3 In1 Ga8'
_cell_length_a 5.6501
_cell_length_b 5.6501
_cell_length_c 8.7208
_cell_angle_alpha 90.00
_cell_angle_beta 90.00
_cell_angle_gamma 120.00
_space_group_name_H-M_alt 'P 3 m 1'
_space_group_IT_number 156
_space_group_name_Hall 'P 3 -2"'
loop_
_atom_site_label
_atom_site_type_symbol
_atom_site_fract_x
_atom_site_fract_y
_atom_site_fract_z
Mg1 Mg 0.0000 0.0000 0.0000
Mg2 Mg 0.0000 0.0000 0.3755
Mg3 Mg 0.3333 0.6667 0.8682
In1 In 0.3333 0.6667 0.5039
Ga1 Ga 0.0087 0.5043 0.1831
Ga2 Ga 0.3199 0.1599 0.6900
Ga3 Ga 0.6667 0.3333 0.4397
Ga4 Ga 0.6667 0.3333 0.9321

=====

Entry 15:
# PBE-GGA Mg2In3Ga4, optimized geometry
# E_form	-23	meV per atom
# relative energy among the computed polymorphs	0.059	eV per formula unit
# DOS at the Fermi energy	0.352	states/eV/atom
data_Mg2In3Ga4
_chemical_formula_sum 'Mg8 In12 Ga16'
_cell_length_a 14.4524
_cell_length_b 10.4044
_cell_length_c 5.3242
_cell_angle_alpha 90.00
_cell_angle_beta 99.93
_cell_angle_gamma 90.00
_space_group_name_H-M_alt 'C 1 2/c 1'
_space_group_IT_number 15
_space_group_name_Hall '-C 2yc'
loop_
_atom_site_label
_atom_site_type_symbol
_atom_site_fract_x
_atom_site_fract_y
_atom_site_fract_z
Mg1 Mg 0.1196 0.1262 0.3006
In1 In 0.0000 0.1186 0.7500
In2 In 0.1650 0.3902 0.5820
Ga1 Ga 0.0482 0.3689 0.0271
Ga2 Ga 0.2209 0.1389 0.8511

=====

Entry 16:
# PBE-GGA Mg3In2Ga2, optimized geometry
# E_form	-58	meV per atom
# DOS at the Fermi energy	0.267	states/eV/atom
data_Mg3In2Ga2
_chemical_formula_sum 'Mg3 In2 Ga2'
_cell_length_a 4.5878
_cell_length_b 5.5144
_cell_length_c 6.5505
_cell_angle_alpha 85.18
_cell_angle_beta 87.21
_cell_angle_gamma 69.01
_space_group_name_H-M_alt 'P -1'
_space_group_IT_number 2
_space_group_name_Hall '-P 1'
loop_
_atom_site_label
_atom_site_type_symbol
_atom_site_fract_x
_atom_site_fract_y
_atom_site_fract_z
Mg1 Mg 0.0000 0.0000 0.0000
Mg2 Mg 0.2868 0.4154 0.8264
In1 In 0.3992 0.1804 0.2833
Ga1 Ga 0.1334 0.7431 0.4238

=====

Entry 17:
# PBE-GGA Mg2InGa5, optimized geometry
# E_form	-58	meV per atom
# DOS at the Fermi energy	0.542	states/eV/atom
data_Mg2InGa5
_chemical_formula_sum 'Mg4 In2 Ga10'
_cell_length_a 6.2374
_cell_length_b 11.6670
_cell_length_c 4.3653
_cell_angle_alpha 90.00
_cell_angle_beta 90.00
_cell_angle_gamma 90.00
_space_group_name_H-M_alt 'P b a m'
_space_group_IT_number 55
_space_group_name_Hall '-P 2 2ab'
loop_
_atom_site_label
_atom_site_type_symbol
_atom_site_fract_x
_atom_site_fract_y
_atom_site_fract_z
Mg1 Mg 0.2345 0.1293 0.0000
In1 In 0.0000 0.5000 0.5000
Ga1 Ga 0.0000 0.0000 0.5000
Ga2 Ga 0.0177 0.7551 0.5000
Ga3 Ga 0.2480 0.8749 0.0000

=====

Entry 18:
# PBE-GGA MgIn3Ga, optimized geometry
# E_form	-15	meV per atom
# relative energy among the computed polymorphs	0.000	eV per formula unit
# DOS at the Fermi energy	0.369	states/eV/atom
data_MgIn3Ga
_chemical_formula_sum 'Mg2 In6 Ga2'
_cell_length_a 4.4194
_cell_length_b 6.5406
_cell_length_c 8.7307
_cell_angle_alpha 79.04
_cell_angle_beta 76.35
_cell_angle_gamma 89.98
_space_group_name_H-M_alt 'P -1'
_space_group_IT_number 2
_space_group_name_Hall '-P 1'
loop_
_atom_site_label
_atom_site_type_symbol
_atom_site_fract_x
_atom_site_fract_y
_atom_site_fract_z
Mg1 Mg 0.0997 0.0549 0.2925
In1 In 0.1081 0.5421 0.2859
In2 In 0.2958 0.1557 0.9100
In3 In 0.4979 0.7565 0.4977
Ga1 Ga 0.3022 0.6474 0.9021

=====

Entry 19:
# PBE-GGA Mg6InGa2, optimized geometry
# E_form	107	meV per atom
# relative energy among the computed polymorphs	1.751	eV per formula unit
# DOS at the Fermi energy	0.343	states/eV/atom
data_Mg6InGa2
_chemical_formula_sum 'Mg12 In2 Ga4'
_cell_length_a 6.8941
_cell_length_b 6.8941
_cell_length_c 10.1428
_cell_angle_alpha 90.00
_cell_angle_beta 90.00
_cell_angle_gamma 90.00
_space_group_name_H-M_alt 'P 42/m n m'
_space_group_IT_number 136
_space_group_name_Hall '-P 4n 2n'
loop_
_atom_site_label
_atom_site_type_symbol
_atom_site_fract_x
_atom_site_fract_y
_atom_site_fract_z
Mg1 Mg 0.2063 0.2063 0.0000
Mg2 Mg 0.2330 0.2330 0.3290
In1 In 0.0000 0.0000 0.5000
Ga1 Ga 0.0000 0.0000 0.1816

=====

Entry 20:
# PBE-GGA MgIn6Ga, optimized geometry
# E_form	5	meV per atom
# DOS at the Fermi energy	0.419	states/eV/atom
data_MgIn6Ga
_chemical_formula_sum 'Mg1 In6 Ga1'
_cell_length_a 4.5537
_cell_length_b 4.5537
_cell_length_c 9.6899
_cell_angle_alpha 90.00
_cell_angle_beta 90.00
_cell_angle_gamma 90.00
_space_group_name_H-M_alt 'P 4/m m m'
_space_group_IT_number 123
_space_group_name_Hall '-P 4 2'
loop_
_atom_site_label
_atom_site_type_symbol
_atom_site_fract_x
_atom_site_fract_y
_atom_site_fract_z
Mg1 Mg 0.0000 0.0000 0.0000
In1 In 0.0000 0.5000 0.2487
In2 In 0.5000 0.5000 0.0000
In3 In 0.5000 0.5000 0.5000
Ga1 Ga 0.0000 0.0000 0.5000

=====

Entry 21:
# PBE-GGA MgIn4Ga, optimized geometry
# E_form	1	meV per atom
# relative energy among the computed polymorphs	0.136	eV per formula unit
# DOS at the Fermi energy	0.389	states/eV/atom
data_MgIn4Ga
_chemical_formula_sum 'Mg1 In4 Ga1'
_cell_length_a 3.1781
_cell_length_b 3.4836
_cell_length_c 13.4958
_cell_angle_alpha 90.00
_cell_angle_beta 94.07
_cell_angle_gamma 90.00
_space_group_name_H-M_alt 'P 1 2/m 1'
_space_group_IT_number 10
_space_group_name_Hall '-P 2y'
loop_
_atom_site_label
_atom_site_type_symbol
_atom_site_fract_x
_atom_site_fract_y
_atom_site_fract_z
Mg1 Mg 0.0000 0.0000 0.0000
In1 In 0.4400 0.0000 0.3455
In2 In 0.4513 0.5000 0.8457
Ga1 Ga 0.0000 0.5000 0.5000